A) First-principles (GGA-PBEsol) data for a relaxed Y2ScCo crystal, as listed in the Alexandria database.

a b c (Å): 3.401 5.098 6.008
angles (deg): 115.10 106.44 90.00
Fractional positions:
Sc 0.811 0.311 0.622
Y 0.001 0.001 0.001
Y 0.197 0.697 0.395
Co 0.491 0.491 0.982

Results
**Density**: 5.2 Mg/m³
**Space-group type**: Imm2

B) First-principles (GGA-PBEsol) data for a relaxed Y2ScCo crystal, as listed in the Alexandria database.

a b c (Å): 3.258 3.258 8.479
angles (deg): 90.00 90.00 90.03
Last column: magnetic moment on the atom in μB.
Fractional positions:
Co 0.000 0.000 0.482  0.53
Y 0.000 0.000 0.016  0.02
Y 0.500 0.500 0.681  -0.04
Sc 0.500 0.500 0.321  -0.06

Results
**Density**: 5.2 Mg/m³
**Space-group type**: P4mm

Energetically preferred structure: A) | next structure: +24 meV per atom

A) First-principles (GGA-PBEsol) data for a relaxed CoSe3 crystal, as listed in the Alexandria database.

a b c (Å): 3.408 3.408 7.202
angles (deg): 76.31 76.31 60.00
Fractional positions:
Se 0.729 0.729 0.813
Se 0.271 0.271 0.187
Co 0.000 0.000 0.000
Se 0.500 0.500 0.500

Results
**Density**: 7.0 Mg/m³
**Space-group type**: R-3m

B) First-principles (GGA-PBEsol) data for a relaxed CoSe3 crystal, as listed in the Alexandria database.

a b c (Å): 3.456 4.762 4.762
angles (deg): 118.55 90.00 90.00
Fractional positions:
Se 0.000 0.500 0.500
Se 0.500 0.808 0.192
Co 0.000 0.000 0.000
Se 0.500 0.192 0.808

Results
**Density**: 7.1 Mg/m³
**Space-group type**: Cmmm

Energetically preferred structure: B) | next structure: +102 meV per atom

A) First-principles (GGA-PBEsol) data for a relaxed CoTcSe crystal, as listed in the Alexandria database.

a b c (Å): 3.983 3.983 3.983
angles (deg): 60.00 60.00 60.00
Last column: magnetic moment on the atom in μB.
Fractional positions:
Se 0.000 0.000 0.000  0.03
Co 0.250 0.250 0.250  0.92
Tc 0.500 0.500 0.500  1.22

Results
**Density**: 8.8 Mg/m³
**Space-group type**: F-43m

B) First-principles (GGA-PBEsol) data for a relaxed CoTcSe crystal, as listed in the Alexandria database.

a b c (Å): 2.972 2.972 4.961
angles (deg): 107.43 107.43 90.00
Last column: magnetic moment on the atom in μB.
Fractional positions:
Tc 0.327 0.327 0.655  0.26
Co 0.006 0.006 0.012  1.33
Se 0.667 0.667 0.333  -0.01

Results
**Density**: 9.9 Mg/m³
**Space-group type**: I4mm

Energetically preferred structure: B) | next structure: +296 meV per atom

A) First-principles (GGA-PBEsol) data for a relaxed TlCo2Se crystal, as listed in the Alexandria database.

a b c (Å): 3.088 3.344 6.398
angles (deg): 105.15 103.97 90.00
Fractional positions:
Se 0.542 0.542 0.084
Co 0.990 0.990 0.980
Tl 0.299 0.799 0.597
Co 0.669 0.169 0.339

Results
**Density**: 10.8 Mg/m³
**Space-group type**: Imm2

B) First-principles (GGA-PBEsol) data for a relaxed TlCo2Se crystal, as listed in the Alexandria database.

a b c (Å): 4.399 4.399 4.399
angles (deg): 60.00 60.00 60.00
Last column: magnetic moment on the atom in μB.
Fractional positions:
Tl 0.500 0.500 0.500  -0.03
Co 0.750 0.750 0.750  1.33
Se 0.000 0.000 0.000  0.11
Co 0.250 0.250 0.250  1.33

Results
**Density**: 11.1 Mg/m³
**Space-group type**: Fm-3m

C) First-principles (GGA-PBEsol) data for a relaxed TlCo2Se crystal, as listed in the Alexandria database.

a b c (Å): 3.145 3.145 6.439
angles (deg): 90.00 90.00 90.00
Last column: magnetic moment on the atom in μB.
Fractional positions:
Co 0.500 0.500 0.740  0.24
Se 0.000 0.000 0.607  -0.02
Co 0.000 0.000 0.959  1.07
Tl 0.500 0.500 0.193  -0.01

Results
**Density**: 10.5 Mg/m³
**Space-group type**: P4mm

D) First-principles (GGA-PBEsol) data for a relaxed TlCo2Se crystal, as listed in the Alexandria database.

a b c (Å): 4.491 4.491 4.491
angles (deg): 60.00 60.00 60.00
Last column: magnetic moment on the atom in μB.
Fractional positions:
Tl 0.250 0.250 0.250  -0.03
Co 0.000 0.000 0.000  1.42
Co 0.750 0.750 0.750  1.54
Se 0.500 0.500 0.500  0.08

Results
**Density**: 10.4 Mg/m³
**Space-group type**: F-43m

Energetically preferred structure: C) | next structure: +25 meV per atom

A) First-principles (GGA-PBEsol) data for a relaxed TlCo2Se crystal, as listed in the Alexandria database.

a b c (Å): 3.724 4.591 4.591
angles (deg): 67.30 66.08 66.08
Last column: magnetic moment on the atom in μB.
Fractional positions:
Se 0.500 0.000 0.000  0.11
Tl 0.000 0.500 0.500  -0.01
Co 0.203 0.797 0.797  1.06
Co 0.797 0.203 0.203  1.06

Results
**Density**: 10.5 Mg/m³
**Space-group type**: Immm

B) First-principles (GGA-PBEsol) data for a relaxed TlCo2Se crystal, as listed in the Alexandria database.

a b c (Å): 3.629 3.629 5.348
angles (deg): 109.83 109.83 90.00
Last column: magnetic moment on the atom in μB.
Fractional positions:
Co 0.000 0.000 0.000  1.30
Se 0.500 0.500 0.000  0.07
Tl 0.750 0.250 0.500  -0.04
Co 0.250 0.750 0.500  1.09

Results
**Density**: 10.8 Mg/m³
**Space-group type**: I-4m2

Energetically preferred structure: A) | next structure: +71 meV per atom

A) First-principles (GGA-PBEsol) data for a relaxed ZnCo2Se crystal, as listed in the Alexandria database.

a b c (Å): 2.806 3.605 5.128
angles (deg): 90.00 90.00 90.00
Last column: magnetic moment on the atom in μB.
Fractional positions:
Co 0.500 0.000 0.767  0.42
Se 0.500 0.500 0.500  0.00
Co 0.500 0.000 0.233  0.42
Zn 0.000 0.500 0.000  -0.01

Results
**Density**: 8.4 Mg/m³
**Space-group type**: Pmmm

B) First-principles (GGA-PBEsol) data for a relaxed ZnCo2Se crystal, as listed in the Alexandria database.

a b c (Å): 2.917 4.023 4.552
angles (deg): 103.02 108.68 90.00
Last column: magnetic moment on the atom in μB.
Fractional positions:
Co 0.987 0.939 0.975  0.11
Zn 0.248 0.820 0.496  0.00
Co 0.770 0.328 0.539  0.03
Se 0.495 0.413 0.990  0.00

Results
**Density**: 8.9 Mg/m³
**Space-group type**: Cm

Energetically preferred structure: B) | next structure: +56 meV per atom

A) First-principles (GGA-PBEsol) data for a relaxed ZnCo2Se crystal, as listed in the Alexandria database.

a b c (Å): 2.857 4.017 4.769
angles (deg): 100.47 90.00 110.83
Last column: magnetic moment on the atom in μB.
Fractional positions:
Co 0.253 0.506 0.271  0.64
Co 0.747 0.494 0.729  0.64
Se 0.000 0.000 0.500  0.00
Zn 0.500 0.000 0.000  -0.02

Results
**Density**: 8.7 Mg/m³
**Space-group type**: C2/m

B) First-principles (GGA-PBEsol) data for a relaxed ZnCo2Se crystal, as listed in the Alexandria database.

a b c (Å): 6.417 5.246 6.417
angles (deg): 52.29 90.00 127.71
Fractional positions:
Co 0.086 0.750 0.875
Zn 0.500 0.000 0.500
Co 0.664 0.750 0.375
Co 0.875 0.250 0.664
Zn 0.250 0.500 0.250
Se 0.000 0.000 0.000
Se 0.750 0.500 0.750
Co 0.375 0.250 0.086

Results
**Density**: 8.0 Mg/m³
**Space-group type**: I-42d

Energetically preferred structure: A) | next structure: +213 meV per atom

A) First-principles (GGA-PBEsol) data for a relaxed TlCoSi2 crystal, as listed in the Alexandria database.

a b c (Å): 2.879 2.879 7.822
angles (deg): 90.00 90.00 90.22
Last column: magnetic moment on the atom in μB.
Fractional positions:
Co 0.500 0.500 0.000  0.17
Si 0.000 0.000 0.168  0.00
Tl 0.500 0.500 0.500  0.00
Si 0.000 0.000 0.832  0.00

Results
**Density**: 8.2 Mg/m³
**Space-group type**: Cmmm

B) First-principles (GGA-PBEsol) data for a relaxed TlCoSi2 crystal, as listed in the Alexandria database.

a b c (Å): 3.346 4.925 4.925
angles (deg): 60.27 70.14 70.14
Fractional positions:
Tl 0.488 0.512 0.512
Si 0.279 0.221 0.221
Si 0.022 0.978 0.978
Co 0.711 0.789 0.789

Results
**Density**: 8.2 Mg/m³
**Space-group type**: Imm2

Energetically preferred structure: A) | next structure: +425 meV per atom

A) First-principles (GGA-PBEsol) data for a relaxed SrTa2Co crystal, as listed in the Alexandria database.

a b c (Å): 2.875 2.875 9.241
angles (deg): 90.00 90.00 90.00
Last column: magnetic moment on the atom in μB.
Fractional positions:
Ta 0.000 0.000 0.822  0.01
Co 0.500 0.500 0.000  0.33
Ta 0.000 0.000 0.178  0.01
Sr 0.500 0.500 0.500  0.01

Results
**Density**: 11.1 Mg/m³
**Space-group type**: P4/mmm

B) First-principles (GGA-PBEsol) data for a relaxed SrTa2Co crystal, as listed in the Alexandria database.

a b c (Å): 2.877 3.594 7.811
angles (deg): 90.00 92.63 90.00
Last column: magnetic moment on the atom in μB.
Fractional positions:
Co 0.500 0.500 0.000  0.34
Ta 0.072 0.000 0.839  0.02
Sr 0.500 0.500 0.500  0.01
Ta 0.928 0.000 0.161  0.02

Results
**Density**: 10.5 Mg/m³
**Space-group type**: P2/m

Energetically preferred structure: A) | next structure: +15 meV per atom

A) First-principles (GGA-PBEsol) data for a relaxed Sr2TaCo crystal, as listed in the Alexandria database.

a b c (Å): 3.475 5.534 6.364
angles (deg): 115.77 105.84 90.00
Fractional positions:
Co 0.210 0.210 0.419
Sr 0.759 0.759 0.518
Sr 0.958 0.458 0.915
Ta 0.574 0.074 0.147

Results
**Density**: 6.6 Mg/m³
**Space-group type**: Imm2

B) First-principles (GGA-PBEsol) data for a relaxed Sr2TaCo crystal, as listed in the Alexandria database.

a b c (Å): 4.077 4.077 5.972
angles (deg): 109.96 109.96 90.00
Fractional positions:
Co 0.000 0.000 0.000
Ta 0.500 0.500 0.000
Sr 0.250 0.750 0.500
Sr 0.750 0.250 0.500

Results
**Density**: 7.9 Mg/m³
**Space-group type**: I4/mmm

Energetically preferred structure: A) | next structure: +611 meV per atom

A) First-principles (GGA-PBEsol) data for a relaxed SrCo2W crystal, as listed in the Alexandria database.

a b c (Å): 2.751 4.711 4.712
angles (deg): 90.00 90.00 90.00
Last column: magnetic moment on the atom in μB.
Fractional positions:
Sr 0.500 0.500 0.000  -0.01
W 0.500 0.000 0.500  -0.01
Co 0.000 0.500 0.500  0.12
Co 0.000 0.000 0.000  0.12

Results
**Density**: 10.6 Mg/m³
**Space-group type**: P4/mmm

B) First-principles (GGA-PBEsol) data for a relaxed SrCo2W crystal, as listed in the Alexandria database.

a b c (Å): 2.683 4.630 5.687
angles (deg): 114.02 103.64 90.00
Last column: magnetic moment on the atom in μB.
Fractional positions:
Co 0.287 0.787 0.574  0.32
Sr 0.507 0.507 0.014  -0.01
W 0.714 0.214 0.427  -0.04
Co 0.993 0.993 0.985  0.16

Results
**Density**: 10.4 Mg/m³
**Space-group type**: Imm2

Energetically preferred structure: A) | next structure: +18 meV per atom

A) First-principles (GGA-PBEsol) data for a relaxed SrZrCo crystal, as listed in the Alexandria database.

a b c (Å): 4.051 4.051 5.358
angles (deg): 90.00 90.00 120.00
Fractional positions:
Sr 0.667 0.333 0.681
Co 0.000 0.000 0.139
Zr 0.333 0.667 0.180

Results
**Density**: 5.2 Mg/m³
**Space-group type**: P3m1

B) First-principles (GGA-PBEsol) data for a relaxed SrZrCo crystal, as listed in the Alexandria database.

a b c (Å): 3.311 3.311 6.695
angles (deg): 104.32 104.32 90.00
Fractional positions:
Sr 0.353 0.353 0.707
Co 0.032 0.032 0.063
Zr 0.615 0.615 0.230

Results
**Density**: 5.7 Mg/m³
**Space-group type**: I4mm

Energetically preferred structure: B) | next structure: +198 meV per atom

A) First-principles (GGA-PBEsol) data for a relaxed SrZr2Co crystal, as listed in the Alexandria database.

a b c (Å): 3.040 5.534 5.709
angles (deg): 118.99 90.00 90.00
Fractional positions:
Zr 0.000 0.500 0.500
Zr 0.000 0.000 0.500
Sr 0.500 0.500 0.000
Co 0.500 0.000 0.000

Results
**Density**: 6.5 Mg/m³
**Space-group type**: Cmmm

B) First-principles (GGA-PBEsol) data for a relaxed SrZr2Co crystal, as listed in the Alexandria database.

a b c (Å): 3.272 3.272 8.392
angles (deg): 90.00 90.00 90.00
Last column: magnetic moment on the atom in μB.
Fractional positions:
Zr 0.500 0.500 0.301  -0.02
Co 0.000 0.000 0.441  0.15
Zr 0.000 0.000 0.057  0.02
Sr 0.500 0.500 0.701  0.00

Results
**Density**: 6.1 Mg/m³
**Space-group type**: P4mm

Energetically preferred structure: B) | next structure: +642 meV per atom

A) First-principles (GGA-PBEsol) data for a relaxed TaCoTc2 crystal, as listed in the Alexandria database.

a b c (Å): 3.141 3.141 5.660
angles (deg): 90.00 90.00 90.00
Last column: magnetic moment on the atom in μB.
Fractional positions:
Ta 0.500 0.500 0.723  -0.01
Co 0.000 0.000 0.514  0.21
Tc 0.500 0.500 0.247  0.06
Tc 0.000 0.000 0.017  0.01

Results
**Density**: 13.0 Mg/m³
**Space-group type**: P4mm

B) First-principles (GGA-PBEsol) data for a relaxed TaCoTc2 crystal, as listed in the Alexandria database.

a b c (Å): 3.179 4.199 4.199
angles (deg): 90.00 90.00 90.00
Last column: magnetic moment on the atom in μB.
Fractional positions:
Tc 0.000 0.000 0.500  0.23
Tc 0.000 0.500 0.000  0.23
Ta 0.500 0.000 0.000  -0.01
Co 0.500 0.500 0.500  1.30

Results
**Density**: 12.9 Mg/m³
**Space-group type**: P4/mmm

Energetically preferred structure: A) | next structure: +13 meV per atom